This record from Alexandria describes crystalline Tb4Tm5Cd2 at its relaxed geometry. The functional is PBE-GGA.

Lattice parameters (Å, degrees): 8.4975 3.4486 11.1230 90.00 93.42 90.00
Space group P2/m (No. 10)
Symmetry-distinct sites (fractional):
Tb: 0.1451 0.0000 0.3842 x2
Tb: 0.2801 0.0000 0.9509 x2
Tm: 0.2036 0.5000 0.6677 x2
Tm: 0.4282 0.5000 0.2065 x2
Tm: 0.5000 0.5000 0.5000 x1
Cd: 0.0543 0.5000 0.1323 x2

**Calculated density**: 8702 kg/m3
**Formation enthalpy at 0 K**: 0.018 eV/atom

***

This record from Alexandria describes crystalline NbTlBiIr2 at its relaxed geometry. The functional is PBE-GGA.

Lattice parameters (Å, degrees): 4.9266 4.9266 5.5181 90.00 90.00 90.00
Space group P4/mmm (No. 123)
Symmetry-distinct sites (fractional):
Nb: 0.0000 0.0000 0.0000 x1
Tl: 0.5000 0.5000 0.0000 x1
Bi: 0.5000 0.5000 0.5000 x1
Ir: 0.0000 0.5000 0.5000 x2

**Calculated density**: 11043 kg/m3
**Formation enthalpy at 0 K**: 2.048 eV/atom
**ΔE to the lowest computed polymorph**: 0.000 eV per atom

***

This record from Alexandria describes crystalline BePtWAu2 at its relaxed geometry. The functional is PBE-GGA.

Lattice parameters (Å, degrees): 4.3302 4.3302 4.2730 90.00 90.00 90.00
Space group P4/mmm (No. 123)
Symmetry-distinct sites (fractional):
Be: 0.0000 0.0000 0.0000 x1
Pt: 0.0000 0.0000 0.5000 x1
W: 0.5000 0.5000 0.5000 x1
Au: 0.0000 0.5000 0.0000 x2

**Calculated density**: 16205 kg/m3
**Formation enthalpy at 0 K**: 0.663 eV/atom
**ΔE to the lowest computed polymorph**: 0.000 eV per atom

***

This record from Alexandria describes crystalline SrFeAgBr2 at its relaxed geometry. The functional is PBE-GGA.

Lattice parameters (Å, degrees): 5.0627 5.0627 5.2018 90.00 90.00 90.00
Space group P4/mmm (No. 123)
Symmetry-distinct sites (fractional):
Sr: 0.0000 0.0000 0.0000 x1
Fe: 0.5000 0.5000 0.5000 x1
Ag: 0.5000 0.5000 0.0000 x1
Br: 0.0000 0.5000 0.5000 x2

**Calculated density**: 5121 kg/m3
**Uncorrected formation energy**: -0.34 eV/atom

***

This record from Alexandria describes crystalline Li2Nd2ErSn2 at its relaxed geometry. The functional is PBE-GGA.

Lattice parameters (Å, degrees): 4.7870 4.7870 27.4402 90.00 90.00 120.00
Space group R-3m (No. 166, hexagonal axes)
Symmetry-distinct sites (fractional):
Li: 0.0000 0.0000 0.1072 x6
Nd: 0.0000 0.0000 0.3725 x6
Er: 0.0000 0.0000 0.5000 x3
Sn: 0.0000 0.0000 0.2319 x6

**Calculated density**: 6468 kg/m3
**Formation enthalpy at 0 K**: -0.455 eV/atom

***

This record from Alexandria describes crystalline CoBr2Cl at its relaxed geometry. The functional is PBE-GGA.

Lattice parameters (Å, degrees): 3.2081 6.9208 10.4788 90.00 90.00 90.00
Space group Imm2 (No. 44)
Symmetry-distinct sites (fractional):
Co: 0.0000 0.0000 0.0000 x2
Br: 0.0000 0.0000 0.5038 x2
Br: 0.0000 0.5000 0.3398 x2
Cl: 0.0000 0.5000 0.6437 x2

**Calculated density**: 3629 kg/m3
**ΔE to the lowest computed polymorph**: 0.229 eV per atom
**Uncorrected formation energy**: -0.10 eV/atom

***

This record from Alexandria describes crystalline YSiP2S at its relaxed geometry. The functional is PBE-GGA.

Lattice parameters (Å, degrees): 4.5567 4.5567 4.6556 90.00 90.00 90.00
Space group P4/mmm (No. 123)
Symmetry-distinct sites (fractional):
Y: 0.0000 0.0000 0.0000 x1
Si: 0.5000 0.5000 0.5000 x1
P: 0.0000 0.5000 0.5000 x2
S: 0.5000 0.5000 0.0000 x1

**Calculated density**: 3625 kg/m3
**ΔE to the lowest computed polymorph**: 0.000 eV per atom
**Uncorrected formation energy**: -0.25 eV/atom

***

This record from Alexandria describes crystalline BaHIN2 at its relaxed geometry. The functional is PBE-GGA.

Lattice parameters (Å, degrees): 5.6246 5.6246 6.7616 90.00 90.00 90.00
Space group P4/mmm (No. 123)
Symmetry-distinct sites (fractional):
Ba: 0.0000 0.0000 0.0000 x1
H: 0.5000 0.5000 0.5000 x1
I: 0.0000 0.0000 0.5000 x1
N: 0.0000 0.5000 0.0000 x2

**Calculated density**: 2276 kg/m3
**ΔE to the lowest computed polymorph**: 0.325 eV per atom

***

This record from Alexandria describes crystalline ZrScPbBr at its relaxed geometry. The functional is PBE-GGA.

Lattice parameters (Å, degrees): 5.3264 5.3807 3.3893 90.00 90.00 90.00
Space group Pmm2 (No. 25)
Symmetry-distinct sites (fractional):
Zr: 0.0000 0.0000 0.0000 x1
Sc: 0.5000 0.5000 0.0362 x1
Pb: 0.5000 0.0000 0.5032 x1
Br: 0.0000 0.5000 0.9387 x1

**Calculated density**: 7236 kg/m3
**ΔE to the lowest computed polymorph**: 0.129 eV per atom
**Uncorrected formation energy**: -0.39 eV/atom

***

This record from Alexandria describes crystalline TeBrCl2 at its relaxed geometry. The functional is PBE-GGA.

Lattice parameters (Å, degrees): 11.4134 6.0015 8.0112 90.00 134.44 90.00
Space group Cm (No. 8)
Symmetry-distinct sites (fractional):
Te: 0.0000 0.0000 0.0000 x2
Br: 0.4990 0.0000 0.9986 x2
Cl: 0.1855 0.0000 0.4075 x2
Cl: 0.1860 0.0000 0.9636 x2

**Calculated density**: 2360 kg/m3
**ΔE to the lowest computed polymorph**: 0.106 eV per atom
**Uncorrected formation energy**: -0.30 eV/atom

***

Q: calculated density of number 7 (YSiP2S)?
A: 3625 kg/m3

***

Please write out number 10 again, unchanged.
This record from Alexandria describes crystalline TeBrCl2 at its relaxed geometry. The functional is PBE-GGA.

Lattice parameters (Å, degrees): 11.4134 6.0015 8.0112 90.00 134.44 90.00
Space group Cm (No. 8)
Symmetry-distinct sites (fractional):
Te: 0.0000 0.0000 0.0000 x2
Br: 0.4990 0.0000 0.9986 x2
Cl: 0.1855 0.0000 0.4075 x2
Cl: 0.1860 0.0000 0.9636 x2

**Calculated density**: 2360 kg/m3
**ΔE to the lowest computed polymorph**: 0.106 eV per atom
**Uncorrected formation energy**: -0.30 eV/atom

***

Q: Look up the calculated density of the third one.
A: 16205 kg/m3